Material: AlTlS2
Method: DFT, PBE
State: relaxed

Values from the calculation:
SG	R3m, No. 160
ΔE_f (raw)	-0.795	eV per atom

a b c (Å): 3.601 3.601 7.811
angles (deg): 76.67 76.67 60.00
Fractional coordinates of all 4 atoms:
S 0.276 0.276 0.173
S 0.058 0.058 0.826
Al 0.667 0.667 0.999
Tl 0.499 0.499 0.502

Material: Al5Tl3S12
Method: DFT, PBE
State: relaxed

Values from the calculation:
SG	Ia-3d, No. 230
ΔE_f (raw)	-0.546	eV per atom

a b c (Å): 13.102 13.102 13.102
angles (deg): 109.47 109.47 109.47
Fractional coordinates of all 80 atoms:
Al 0.125 0.375 0.250
S 0.099 0.923 0.124
S 0.799 0.324 0.923
Tl 0.125 0.875 0.750
S 0.577 0.876 0.401
S 0.824 0.901 0.025
S 0.876 0.577 0.901
S 0.923 0.824 0.799
S 0.376 0.975 0.799
Tl 0.875 0.125 0.250
S 0.376 0.401 0.077
Al 0.875 0.625 0.750
S 0.676 0.475 0.599
S 0.701 0.577 0.176
S 0.401 0.025 0.324
S 0.923 0.099 0.624
Al 0.000 0.000 0.500
S 0.176 0.099 0.975
Al 0.000 0.500 0.000
S 0.975 0.599 0.176
S 0.901 0.077 0.876
Al 0.500 0.500 0.000
S 0.324 0.525 0.401
S 0.799 0.475 0.376
Al 0.875 0.250 0.625
S 0.475 0.676 0.099
S 0.975 0.376 0.299
S 0.577 0.701 0.676
S 0.624 0.025 0.201
S 0.676 0.201 0.577
S 0.124 0.701 0.525
Tl 0.250 0.625 0.875
Al 0.500 0.000 0.500
Tl 0.250 0.125 0.375
S 0.077 0.176 0.201
S 0.525 0.324 0.901
S 0.099 0.176 0.475
S 0.824 0.923 0.299
Al 0.125 0.750 0.375
Tl 0.875 0.750 0.125
Al 0.250 0.875 0.125
Tl 0.750 0.875 0.625
S 0.201 0.676 0.077
S 0.176 0.077 0.701
S 0.025 0.401 0.824
S 0.324 0.799 0.423
S 0.599 0.624 0.423
S 0.876 0.299 0.475
Al 0.625 0.875 0.250
Al 0.500 0.000 0.000
Al 0.375 0.250 0.125
Tl 0.750 0.375 0.125
S 0.299 0.876 0.975
S 0.475 0.799 0.876
S 0.077 0.901 0.376
S 0.423 0.124 0.599
S 0.025 0.624 0.701
Tl 0.375 0.750 0.625
Al 0.750 0.625 0.375
Tl 0.625 0.250 0.375
Tl 0.125 0.250 0.875
Al 0.000 0.000 0.000
Al 0.375 0.125 0.750
S 0.201 0.525 0.624
Al 0.000 0.500 0.500
Tl 0.625 0.375 0.750
Al 0.500 0.500 0.500
S 0.599 0.975 0.676
Al 0.750 0.125 0.875
Tl 0.375 0.625 0.250
Al 0.250 0.375 0.625
S 0.124 0.423 0.099
S 0.401 0.376 0.577
S 0.624 0.599 0.923
S 0.299 0.423 0.824
S 0.701 0.124 0.025
S 0.525 0.201 0.124
S 0.901 0.824 0.525
Al 0.625 0.750 0.875
S 0.423 0.299 0.324

Material: AlTl3S3
Method: DFT, PBE
State: relaxed

Values from the calculation:
SG	P2_1/c, No. 14
energy above the lowest structure with this stoichiometry	0.00	kcal/mol of atoms
ΔE_f (raw)	-0.646	eV per atom

a b c (Å): 7.610 8.068 13.404
angles (deg): 90.00 90.00 101.64
Fractional coordinates of all 28 atoms:
Tl 0.135 0.053 0.341
Tl 0.279 0.870 0.590
S 0.007 0.102 0.884
Tl 0.893 0.483 0.644
S 0.993 0.898 0.116
Al 0.091 0.161 0.049
Tl 0.865 0.947 0.659
S 0.613 0.742 0.950
Tl 0.635 0.553 0.159
Tl 0.779 0.370 0.910
S 0.085 0.671 0.885
S 0.493 0.398 0.384
S 0.585 0.171 0.615
Tl 0.393 0.983 0.856
Tl 0.107 0.517 0.356
Tl 0.221 0.630 0.090
S 0.415 0.829 0.385
S 0.387 0.258 0.050
Tl 0.721 0.130 0.410
S 0.887 0.758 0.450
Al 0.591 0.661 0.451
Al 0.909 0.839 0.951
S 0.113 0.242 0.550
Tl 0.607 0.017 0.144
S 0.507 0.602 0.616
Tl 0.365 0.447 0.841
Al 0.409 0.339 0.549
S 0.915 0.329 0.115

Material: AlTlS2
Method: DFT, PBE
State: relaxed

Values from the calculation:
SG	Cmcm, No. 63
ΔE_f (raw)	-0.438	eV per atom

a b c (Å): 13.014 13.014 4.279
angles (deg): 90.00 90.00 165.08
Fractional coordinates of all 8 atoms:
Tl 0.946 0.054 0.750
Tl 0.054 0.946 0.250
Al 0.693 0.307 0.750
Al 0.307 0.693 0.250
S 0.782 0.218 0.750
S 0.218 0.782 0.250
S 0.871 0.129 0.250
S 0.129 0.871 0.750

Question: Among the records above, which one has the highest ΔE_f (raw)?
Answer: number 4

Question: Among the records above, which one has the highest ΔE_f (raw)?
Answer: number 4